(1)
This record from the Alexandria database describes a PBEsol-optimized structure of BaTlPb2. The functional is meta-GGA SCAN.

a b c (Å): 5.6794 5.6794 5.6794
angles (deg): 60.00 60.00 60.00
Fractional coordinates of all 4 atoms:
Tl1 0.2500 0.2500 0.2500
Ba1 0.5000 0.5000 0.5000
Pb1 0.7500 0.7500 0.7500
Pb2 0.0000 0.0000 0.0000

The total energy is -265.09 eV for the cell shown. For the polymorph energy (0 for the lowest one), the calculation gives 0.066 eV per atom. The calculation puts the volume at 32.38 Å³/atom. As for the size of the total moment: 0.00 Bohr magnetons per cell. For the density of states at the Fermi level, the calculation gives 2.69 states/eV/cell. As for the formation energy: -0.405 eV per atom. The density comes out at 9.69 g cm⁻³.

***

(2)
This record from the Alexandria database describes a PBEsol-optimized structure of BaTl2Pb. The functional is meta-GGA SCAN.

a b c (Å): 4.8884 5.4357 5.9858
angles (deg): 109.15 90.00 116.72
Fractional coordinates of all 4 atoms:
Pb1 0.7395 0.4790 0.1906
Tl1 0.9977 0.9955 0.9873
Tl2 0.2621 0.5243 0.8171
Ba1 0.5006 0.0013 0.5051

The total energy is -261.70 eV for the cell shown. For the polymorph energy (0 for the lowest one), the calculation gives 0.024 eV per atom. The calculation puts the volume at 33.03 Å³/atom. As for the size of the total moment: 0.00 Bohr magnetons per cell. For the density of states at the Fermi level, the calculation gives 1.59 states/eV/cell. As for the formation energy: -0.412 eV per atom. The density comes out at 9.47 g cm⁻³.

***

(3)
This record from the Alexandria database describes a PBEsol-optimized structure of BaTlPb2. The functional is meta-GGA SCAN.

a b c (Å): 4.6466 5.7318 5.8411
angles (deg): 107.89 90.00 113.91
Fractional coordinates of all 4 atoms:
Tl1 0.5000 0.0000 0.0000
Ba1 0.0000 0.0000 0.5000
Pb1 0.2418 0.4835 0.1819
Pb2 0.7582 0.5165 0.8181

The total energy is -265.20 eV for the cell shown. For the polymorph energy (0 for the lowest one), the calculation gives 0.037 eV per atom. The calculation puts the volume at 33.49 Å³/atom. As for the size of the total moment: 0.00 Bohr magnetons per cell. For the density of states at the Fermi level, the calculation gives 1.99 states/eV/cell. As for the formation energy: -0.433 eV per atom. The density comes out at 9.37 g cm⁻³.

***

(4)
This record from the Alexandria database describes a PBEsol-optimized structure of BaTlPb2. The functional is meta-GGA SCAN.

a b c (Å): 3.9705 4.3296 7.5531
angles (deg): 90.00 90.00 90.00
Fractional coordinates of all 4 atoms:
Tl1 0.0000 0.0000 0.4616
Pb1 0.0000 0.0000 0.0443
Ba1 0.5000 0.5000 0.7469
Pb2 0.5000 0.5000 0.2473

The total energy is -265.01 eV for the cell shown. For the polymorph energy (0 for the lowest one), the calculation gives 0.086 eV per atom. The calculation puts the volume at 32.46 Å³/atom. As for the size of the total moment: 0.00 Bohr magnetons per cell. For the density of states at the Fermi level, the calculation gives 1.97 states/eV/cell. As for the formation energy: -0.385 eV per atom. The density comes out at 9.67 g cm⁻³.

***

(5)
This record from the Alexandria database describes a PBEsol-optimized structure of BaTlPb2. The functional is meta-GGA SCAN.

a b c (Å): 5.1568 5.1568 6.0300
angles (deg): 115.31 115.31 90.00
Fractional coordinates of all 4 atoms:
Tl1 0.5000 0.5000 0.0000
Ba1 0.2500 0.7500 0.5000
Pb1 0.0000 0.0000 0.0000
Pb2 0.7500 0.2500 0.5000

The total energy is -265.16 eV for the cell shown. For the polymorph energy (0 for the lowest one), the calculation gives 0.049 eV per atom. The calculation puts the volume at 31.93 Å³/atom. As for the size of the total moment: 0.00 Bohr magnetons per cell. For the density of states at the Fermi level, the calculation gives 2.28 states/eV/cell. As for the formation energy: -0.421 eV per atom. The density comes out at 9.83 g cm⁻³.

***

(6)
This record from the Alexandria database describes a PBEsol-optimized structure of BaTlPb2. The functional is meta-GGA SCAN.

a b c (Å): 4.1714 4.1714 7.5128
angles (deg): 90.00 90.00 90.00
Fractional coordinates of all 4 atoms:
Tl1 0.5000 0.5000 0.0000
Ba1 0.5000 0.5000 0.5000
Pb1 0.0000 0.0000 0.2058
Pb2 0.0000 0.0000 0.7942

The total energy is -264.87 eV for the cell shown. For the polymorph energy (0 for the lowest one), the calculation gives 0.120 eV per atom. The calculation puts the volume at 32.68 Å³/atom. As for the size of the total moment: 0.00 Bohr magnetons per cell. For the density of states at the Fermi level, the calculation gives 2.29 states/eV/cell. As for the formation energy: -0.350 eV per atom. The density comes out at 9.60 g cm⁻³.

***

(7)
This record from the Alexandria database describes a PBEsol-optimized structure of BaPbW. The functional is meta-GGA SCAN.

a b c (Å): 3.1315 3.1315 8.1730
angles (deg): 99.24 99.24 99.33
Fractional coordinates of all 3 atoms:
Ba1 0.9894 0.9894 0.9788
W1 0.3219 0.3219 0.6439
Pb1 0.6886 0.6886 0.3773

The total energy is -182.01 eV for the cell shown. The calculation puts the volume at 25.54 Å³/atom. As for the size of the total moment: 0.00 Bohr magnetons per cell. For the density of states at the Fermi level, the calculation gives 1.53 states/eV/cell. As for the formation energy: 1.002 eV per atom. The density comes out at 11.45 g cm⁻³.

***

(8)
This record from the Alexandria database describes a PBEsol-optimized structure of BaPbW2. The functional is meta-GGA SCAN.

a b c (Å): 3.7065 3.7065 7.2309
angles (deg): 90.00 90.00 90.00
Fractional coordinates of all 4 atoms:
W1 0.0000 0.0000 0.3357
Pb1 0.5000 0.5000 0.5000
Ba1 0.5000 0.5000 0.0000
W2 0.0000 0.0000 0.6643

The total energy is -249.54 eV for the cell shown. The calculation puts the volume at 24.84 Å³/atom. As for the size of the total moment: 0.00 Bohr magnetons per cell. For the density of states at the Fermi level, the calculation gives 3.24 states/eV/cell. As for the formation energy: 1.291 eV per atom. The density comes out at 11.90 g cm⁻³.

***

Among the records above, which one has the lowest density? number 3

***

Which value of density does entry 6 give? 9.60 g cm⁻³